No. 1
{"formula": "Rb3SbF7", "functional": "PBE-GGA", "state": "optimized geometry", "vol_a3_per_cell": 234, "lattice_angstrom": [[-0.9581, -5.2507, -3.2748], [5.7713, 0.2066, -2.4210], [4.2296, -5.5257, 1.9833]], "species": ["Rb", "Rb", "Rb", "Sb", "F", "F", "F", "F", "F", "F", "F"], "frac_coords": [[0.7645, 0.2394, 0.4966], [0.4976, 0.4976, 0.0105], [0.2394, 0.7645, 0.4966], [0.9556, 0.9556, 0.0291], [0.1315, 0.1315, 0.1324], [0.6678, 0.0836, 0.2236], [0.9710, 0.2929, 0.7887], [0.0836, 0.6678, 0.2236], [0.6537, 0.6537, 0.2511], [0.2929, 0.9710, 0.7887], [0.8673, 0.8673, 0.8089]]}

***

No. 2
{"formula": "AgH11Rh5", "functional": "PBE-GGA", "state": "optimized geometry", "vol_a3_per_cell": 148, "lattice_angstrom": [[-0.6052, -5.4736, 1.3712], [2.2987, 1.2581, 5.0071], [-5.4807, 0.5471, -1.2649]], "species": ["Ag", "H", "H", "H", "H", "H", "H", "H", "H", "H", "H", "H", "Rh", "Rh", "Rh", "Rh", "Rh"], "frac_coords": [[0.0000, 0.0000, 0.0000], [0.3175, 0.5318, 0.5318], [0.6825, 0.4682, 0.4682], [0.6710, 0.1360, 0.7155], [0.3290, 0.8640, 0.2845], [0.3290, 0.2845, 0.8640], [0.6710, 0.7155, 0.1360], [0.5000, 0.0000, 0.0000], [0.0750, 0.8382, 0.5541], [0.9250, 0.1618, 0.4459], [0.9250, 0.4459, 0.1618], [0.0750, 0.5541, 0.8382], [0.6260, 0.1010, 0.3767], [0.3740, 0.8990, 0.6233], [0.3740, 0.6233, 0.8990], [0.6260, 0.3767, 0.1010], [0.0000, 0.5000, 0.5000]]}

***

| no. | total DFT energy (no corrections) (eV/atom) |
| --- | --- |
| 1 | -4.404 |
| 2 | -4.378 |